First-principles (PBE) data for a relaxed structure of LiZnP, as listed in Alexandria.

Space-group type: I4mm

Cell: 4.3688 4.3688 4.3688 Å, 132.24 132.24 69.84°
Closest atoms and distances in Å follow each position.
Fractional positions:
Li (0.0000, 0.0000, 0.0000)  1 Zn 2.33, 1 P 2.35
Zn (0.6744, 0.6744, 0.0000)  1 Li 2.33, 1 P 2.48
P (0.3284, 0.3284, 0.0000)  1 Li 2.35, 1 Zn 2.48

***

First-principles (PBE) data for a relaxed structure of Ac2PrAl4Pt3, as listed in Alexandria.

Space-group type: P-4m2

Cell: 4.4553 4.4553 11.5804 Å, 90.00 90.00 90.00°
Closest atoms and distances in Å follow each position.
Fractional positions:
Ac (0.0000, 0.5000, 0.2291)  8 Al 3.35-3.46, 4 Pt 3.42
Ac (0.5000, 0.0000, 0.7709)  8 Al 3.35-3.46, 4 Pt 3.42
Pr (0.0000, 0.0000, 0.5000)  4 Al 2.99, 4 Pt 3.15
Al (0.0000, 0.0000, 0.0000)  4 Pt 2.59
Al (0.0000, 0.5000, 0.6718)  1 Pt 2.48
Al (0.5000, 0.0000, 0.3282)  1 Pt 2.48
Al (0.5000, 0.5000, 0.0000)  4 Pt 2.59
Pt (0.0000, 0.5000, 0.8860)  5 Al 2.48-2.59
Pt (0.5000, 0.0000, 0.1140)  5 Al 2.48-2.59
Pt (0.5000, 0.5000, 0.5000)  4 Al 2.99, 4 Pr 3.15

***

Number 1: energy -3.031 eV per atom, calculated formation energy -0.16 eV/atom. Number 2: energy -5.440 eV per atom, calculated formation energy -0.83 eV/atom.